Ta2ReSi, relaxed, DFT PBE; calculated volume = 66.0 Å³ per cell; VASP energy = -41.2 eV/cell; formation energy (no corrections) = 86 meV/atom
1.0
8.767 -0.095 -0.056
8.293 2.845 -0.056
8.293 1.337 2.512
Re Si Ta
1 1 2
direct
0.494 0.494 0.494
0.756 0.756 0.756
0.005 0.005 0.005
0.245 0.245 0.245